1.
DFT (PBE) results for a geometry-optimized AlTl4P structure.

Results
For the energy relative to the elements, the calculation gives 0.587 eV per atom. As for the volume: 29.6 Å³ per atom. The spin magnetization comes out at 0.000 μB per atom. As for the crystal system: cubic. The space group is No. 216.

```
6
Lattice="0.0000 4.4600 4.4600 4.4600 0.0000 4.4600 4.4600 4.4600 0.0000" Properties=species:S:1:pos:R:3 pbc="T T T"
Al 0.0000 0.0000 0.0000
Tl 3.3493 3.3493 3.3493
Tl 5.5708 5.5708 3.3493
Tl 5.5708 3.3493 5.5708
Tl 3.3493 5.5708 5.5708
P 6.6900 6.6900 6.6900
```

***

2.
DFT (PBE) results for a geometry-optimized VSnSb2I structure.

Results
The calculation puts the formation energy from raw total energies at 0.3452 eV per atom. As for the volume: 30.7 Å³ per atom. The spin magnetization comes out at 0.295 μB per atom. For the energy relative to the lowest polymorph listed for this composition, the calculation gives 0.0 meV per atom. As for the crystal system: tetragonal. The space group is No. 123.

```
5
Lattice="5.1199 0.0000 0.0000 0.0000 5.1199 0.0000 0.0000 0.0000 5.8468" Properties=species:S:1:pos:R:3 pbc="T T T"
V 0.0000 0.0000 0.0000
Sn 2.5600 2.5600 2.9234
Sb 0.0000 2.5600 0.0000
Sb 2.5600 0.0000 0.0000
I 0.0000 0.0000 2.9234
```

***

3.
DFT (PBE) results for a geometry-optimized SrMo2Au structure.

Results
For the energy relative to the elements, the calculation gives 0.570 eV per atom. As for the volume: 21.6 Å³ per atom. The spin magnetization comes out at 0.000 μB per atom. For the energy relative to the lowest polymorph listed for this composition, the calculation gives 293.6 meV per atom. As for the crystal system: orthorhombic. The space group is No. 44.

```
8
Lattice="3.3491 0.0000 0.0000 0.0000 5.3249 0.0000 0.0000 0.0000 9.6768" Properties=species:S:1:pos:R:3 pbc="T T T"
Sr 0.0000 0.0000 0.0000
Sr 1.6746 2.6625 4.8384
Mo 0.0000 0.0000 5.1870
Mo 0.0000 2.6625 2.0667
Mo 1.6746 0.0000 6.9052
Mo 1.6746 2.6625 0.3486
Au 0.0000 2.6625 7.5793
Au 1.6746 0.0000 2.7409
```

***

4.
DFT (PBE) results for a geometry-optimized Pu2N2Cl structure.

Results
The calculation puts the formation energy from raw total energies at -1.4282 eV per atom. As for the volume: 20.0 Å³ per atom. The spin magnetization comes out at 1.800 μB per atom. For the energy relative to the lowest polymorph listed for this composition, the calculation gives 0.0 meV per atom. As for the crystal system: monoclinic. The space group is No. 12.

```
10
Lattice="5.5722 0.0000 0.0000 0.0000 5.5224 0.0000 -1.3369 0.0000 6.5011" Properties=species:S:1:pos:R:3 pbc="T T T"
Pu 0.7467 0.0000 2.1756
Pu 0.7025 2.7612 4.3255
Pu 3.5327 2.7612 2.1756
Pu 3.4886 0.0000 4.3255
N -0.6685 1.3850 3.2506
N -0.6685 4.1374 3.2506
N 2.1176 1.3762 3.2506
N 2.1176 4.1463 3.2506
Cl 0.0000 2.7612 0.0000
Cl 2.7861 0.0000 0.0000
```